1.
# Th3U5C12 PBE relaxed
# **Energy relative to the elements**: 0.471 eV per atom
# **Crystal system**: cubic
# **Magnetization**: 0.0 μB per cell
# **Calculated volume**: 17.01 A^3/atom
data_Th3U5C12
_chemical_formula_sum 'Th12 U20 C48'
_space_group_name_H-M_alt 'P 1'
_space_group_IT_number 1
_space_group_name_Hall 'P 1'
_cell_length_a 12.090
_cell_length_b 12.090
_cell_length_c 12.090
_cell_angle_alpha 109.47
_cell_angle_beta 109.47
_cell_angle_gamma 109.47
loop_
_atom_site_label
_atom_site_type_symbol
_atom_site_fract_x
_atom_site_fract_y
_atom_site_fract_z
C1 C 0.075 0.902 0.369
C2 C 0.827 0.925 0.295
C3 C 0.468 0.673 0.098
C4 C 0.705 0.131 0.032
C5 C 0.032 0.402 0.827
Th1 Th 0.875 0.125 0.250
C6 C 0.598 0.631 0.425
C7 C 0.098 0.173 0.468
C8 C 0.205 0.673 0.075
C9 C 0.532 0.327 0.902
U1 U 0.250 0.875 0.125
C10 C 0.369 0.402 0.075
C11 C 0.402 0.032 0.327
Th2 Th 0.375 0.750 0.625
U2 U 0.000 0.000 0.500
C12 C 0.902 0.827 0.532
C13 C 0.869 0.575 0.902
C14 C 0.369 0.968 0.795
Th3 Th 0.625 0.375 0.750
U3 U 0.750 0.125 0.875
C15 C 0.173 0.098 0.968
Th4 Th 0.125 0.875 0.750
C16 C 0.205 0.532 0.631
Th5 Th 0.250 0.625 0.875
C17 C 0.673 0.468 0.598
U4 U 0.875 0.250 0.625
C18 C 0.532 0.205 0.131
Th6 Th 0.625 0.250 0.375
U5 U 0.625 0.750 0.875
U6 U 0.000 0.000 0.000
U7 U 0.875 0.625 0.750
Th7 Th 0.250 0.125 0.375
C19 C 0.425 0.131 0.598
C20 C 0.631 0.598 0.925
U8 U 0.125 0.750 0.375
C21 C 0.902 0.075 0.869
C22 C 0.925 0.098 0.631
C23 C 0.673 0.205 0.575
C24 C 0.968 0.598 0.173
C25 C 0.925 0.827 0.795
C26 C 0.869 0.295 0.468
C27 C 0.795 0.468 0.369
C28 C 0.795 0.327 0.925
C29 C 0.131 0.705 0.532
Th8 Th 0.375 0.625 0.250
U9 U 0.125 0.375 0.250
U10 U 0.375 0.125 0.750
U11 U 0.500 0.500 0.000
C30 C 0.032 0.631 0.705
C31 C 0.402 0.369 0.575
C32 C 0.327 0.795 0.425
U12 U 0.500 0.000 0.000
C33 C 0.827 0.902 0.032
C34 C 0.295 0.425 0.827
C35 C 0.598 0.968 0.673
C36 C 0.098 0.925 0.131
C37 C 0.468 0.795 0.869
C38 C 0.705 0.575 0.173
C39 C 0.295 0.869 0.968
C40 C 0.575 0.869 0.402
C41 C 0.631 0.032 0.205
C42 C 0.131 0.425 0.098
Th9 Th 0.875 0.750 0.125
C43 C 0.327 0.532 0.402
U13 U 0.625 0.875 0.250
C44 C 0.425 0.295 0.327
Th10 Th 0.750 0.875 0.625
U14 U 0.000 0.500 0.500
C45 C 0.968 0.369 0.295
U15 U 0.500 0.000 0.500
Th11 Th 0.125 0.250 0.875
U16 U 0.500 0.500 0.500
C46 C 0.575 0.705 0.673
U17 U 0.000 0.500 0.000
U18 U 0.375 0.250 0.125
Th12 Th 0.750 0.375 0.125
U19 U 0.250 0.375 0.625
C47 C 0.173 0.075 0.705
C48 C 0.075 0.173 0.205
U20 U 0.750 0.625 0.375

2.
# Hg3Sb12Au5 PBE relaxed
# **Crystal system**: cubic
# **Magnetization**: 0.0 μB per cell
# **Raw formation energy**: 2.9 eV/f.u.
# **Calculated volume**: 29.91 A^3/atom
data_Hg3Sb12Au5
_chemical_formula_sum 'Hg12 Sb48 Au20'
_space_group_name_H-M_alt 'P 1'
_space_group_IT_number 1
_space_group_name_Hall 'P 1'
_cell_length_a 14.593
_cell_length_b 14.593
_cell_length_c 14.593
_cell_angle_alpha 109.47
_cell_angle_beta 109.47
_cell_angle_gamma 109.47
loop_
_atom_site_label
_atom_site_type_symbol
_atom_site_fract_x
_atom_site_fract_y
_atom_site_fract_z
Au1 Au 0.000 0.000 0.000
Sb1 Sb 0.057 0.182 0.461
Au2 Au 0.500 0.500 0.000
Sb2 Sb 0.096 0.722 0.539
Sb3 Sb 0.818 0.943 0.039
Hg1 Hg 0.375 0.625 0.250
Sb4 Sb 0.125 0.943 0.404
Au3 Au 0.500 0.000 0.500
Sb5 Sb 0.596 0.557 0.875
Au4 Au 0.625 0.750 0.875
Hg2 Hg 0.125 0.250 0.875
Sb6 Sb 0.222 0.682 0.125
Sb7 Sb 0.557 0.596 0.375
Au5 Au 0.125 0.375 0.250
Sb8 Sb 0.318 0.778 0.375
Sb9 Sb 0.443 0.039 0.318
Sb10 Sb 0.404 0.961 0.778
Sb11 Sb 0.557 0.961 0.682
Sb12 Sb 0.461 0.778 0.904
Au6 Au 0.875 0.625 0.750
Au7 Au 0.500 0.500 0.500
Sb13 Sb 0.222 0.539 0.596
Sb14 Sb 0.943 0.125 0.904
Sb15 Sb 0.904 0.278 0.461
Au8 Au 0.750 0.625 0.375
Sb16 Sb 0.943 0.818 0.539
Sb17 Sb 0.875 0.818 0.778
Au9 Au 0.875 0.250 0.625
Sb18 Sb 0.625 0.722 0.682
Au10 Au 0.000 0.500 0.000
Sb19 Sb 0.404 0.443 0.125
Sb20 Sb 0.182 0.057 0.961
Sb21 Sb 0.596 0.039 0.222
Sb22 Sb 0.539 0.222 0.096
Sb23 Sb 0.375 0.278 0.318
Sb24 Sb 0.625 0.904 0.443
Sb25 Sb 0.539 0.318 0.943
Hg3 Hg 0.125 0.875 0.750
Sb26 Sb 0.961 0.404 0.278
Sb27 Sb 0.904 0.625 0.943
Sb28 Sb 0.125 0.182 0.222
Sb29 Sb 0.961 0.557 0.182
Hg4 Hg 0.375 0.750 0.625
Sb30 Sb 0.682 0.222 0.625
Au11 Au 0.375 0.250 0.125
Hg5 Hg 0.625 0.375 0.750
Sb31 Sb 0.039 0.596 0.722
Au12 Au 0.000 0.500 0.500
Sb32 Sb 0.875 0.057 0.596
Au13 Au 0.750 0.125 0.875
Sb33 Sb 0.461 0.682 0.057
Sb34 Sb 0.375 0.096 0.557
Au14 Au 0.500 0.000 0.000
Au15 Au 0.000 0.000 0.500
Hg6 Hg 0.875 0.750 0.125
Sb35 Sb 0.318 0.539 0.443
Sb36 Sb 0.722 0.096 0.039
Hg7 Hg 0.250 0.625 0.875
Sb37 Sb 0.818 0.875 0.278
Sb38 Sb 0.096 0.375 0.057
Sb39 Sb 0.722 0.625 0.182
Au16 Au 0.375 0.125 0.750
Au17 Au 0.625 0.875 0.250
Sb40 Sb 0.039 0.443 0.818
Au18 Au 0.250 0.875 0.125
Hg8 Hg 0.875 0.125 0.250
Hg9 Hg 0.625 0.250 0.375
Hg10 Hg 0.750 0.375 0.125
Hg11 Hg 0.250 0.125 0.375
Sb41 Sb 0.057 0.875 0.096
Sb42 Sb 0.443 0.404 0.625
Sb43 Sb 0.778 0.318 0.875
Au19 Au 0.125 0.750 0.375
Sb44 Sb 0.278 0.904 0.961
Sb45 Sb 0.682 0.461 0.557
Hg12 Hg 0.750 0.875 0.625
Au20 Au 0.250 0.375 0.625
Sb46 Sb 0.278 0.375 0.818
Sb47 Sb 0.182 0.125 0.722
Sb48 Sb 0.778 0.461 0.404

3.
# SrGeTeN2 PBE relaxed
# **Crystal system**: tetragonal
# **ΔE to the lowest computed polymorph**: 0.0 meV per atom
# **Magnetization**: 2.3 μB per cell
# **Raw formation energy**: 3.2 eV/f.u.
# **Calculated volume**: 20.52 A^3/atom
data_SrGeTeN2
_chemical_formula_sum 'Sr1 Ge1 Te1 N2'
_space_group_name_H-M_alt 'P 1'
_space_group_IT_number 1
_space_group_name_Hall 'P 1'
_cell_length_a 4.300
_cell_length_b 4.300
_cell_length_c 5.549
_cell_angle_alpha 90.00
_cell_angle_beta 90.00
_cell_angle_gamma 90.00
loop_
_atom_site_label
_atom_site_type_symbol
_atom_site_fract_x
_atom_site_fract_y
_atom_site_fract_z
N1 N 0.500 0.000 0.000
Sr1 Sr 0.500 0.500 0.500
Ge1 Ge 0.000 0.000 0.000
Te1 Te 0.000 0.000 0.500
N2 N 0.000 0.500 0.000

4.
# Al2FeNi PBE relaxed
# **Energy relative to the elements**: -0.111 eV per atom
# **Crystal system**: trigonal
# **Magnetization**: 2.5 μB per cell
# **Calculated volume**: 13.21 A^3/atom
data_Al2FeNi
_chemical_formula_sum 'Al2 Fe1 Ni1'
_space_group_name_H-M_alt 'P 1'
_space_group_IT_number 1
_space_group_name_Hall 'P 1'
_cell_length_a 8.384
_cell_length_b 8.384
_cell_length_c 8.384
_cell_angle_alpha 18.68
_cell_angle_beta 18.68
_cell_angle_gamma 18.68
loop_
_atom_site_label
_atom_site_type_symbol
_atom_site_fract_x
_atom_site_fract_y
_atom_site_fract_z
Al1 Al 0.246 0.246 0.246
Ni1 Ni 0.751 0.751 0.751
Al2 Al 0.006 0.006 0.006
Fe1 Fe 0.497 0.497 0.497

5.
# Ta2CdAg PBE relaxed
# **Energy relative to the elements**: 0.378 eV per atom
# **Crystal system**: orthorhombic
# **Magnetization**: 0.0 μB per cell
# **Calculated volume**: 18.55 A^3/atom
data_Ta2CdAg
_chemical_formula_sum 'Ta2 Cd1 Ag1'
_space_group_name_H-M_alt 'P 1'
_space_group_IT_number 1
_space_group_name_Hall 'P 1'
_cell_length_a 2.798
_cell_length_b 2.798
_cell_length_c 9.914
_cell_angle_alpha 90.00
_cell_angle_beta 90.00
_cell_angle_gamma 107.03
loop_
_atom_site_label
_atom_site_type_symbol
_atom_site_fract_x
_atom_site_fract_y
_atom_site_fract_z
Ta1 Ta 0.000 0.000 0.006
Cd1 Cd 0.500 0.500 0.750
Ag1 Ag 0.500 0.500 0.250
Ta2 Ta 0.000 0.000 0.494

6.
# Pr2TlRh PBE relaxed
# **Energy relative to the elements**: -0.364 eV per atom
# **Crystal system**: cubic
# **ΔE to the lowest computed polymorph**: 141.0 meV per atom
# **Magnetization**: 0.0 μB per cell
# **Calculated volume**: 26.57 A^3/atom
data_Pr2TlRh
_chemical_formula_sum 'Pr2 Tl1 Rh1'
_space_group_name_H-M_alt 'P 1'
_space_group_IT_number 1
_space_group_name_Hall 'P 1'
_cell_length_a 5.317
_cell_length_b 5.317
_cell_length_c 5.317
_cell_angle_alpha 60.00
_cell_angle_beta 60.00
_cell_angle_gamma 60.00
loop_
_atom_site_label
_atom_site_type_symbol
_atom_site_fract_x
_atom_site_fract_y
_atom_site_fract_z
Pr1 Pr 0.750 0.750 0.750
Rh1 Rh 0.500 0.500 0.500
Tl1 Tl 0.000 0.000 0.000
Pr2 Pr 0.250 0.250 0.250